Entry 1:
This record from the Alexandria database describes an optimized crystal structure of SmHo7Tm5. The functional is PBE-GGA.

abc: 6.6324 11.0583 11.4249
angles: 90.00 90.00 90.00
Space group Imm2 (No. 44)
Asymmetric unit:
Sm (0.0000, 0.0000, 0.0000)
Ho (0.0000, 0.0000, 0.3051)
Ho (0.0000, 0.0000, 0.6121)
Ho (0.0000, 0.3277, 0.0534)
Ho (0.0000, 0.3285, 0.5538)
Ho (0.0000, 0.5000, 0.3016)
Tm (0.0000, 0.5000, 0.8047)
Tm (0.2343, 0.2292, 0.8030)

Calculated values
formation energy: 255 meV per atom
DFT total energy: -4.29 eV/atom
N(E_F): 26.8 states/eV/f.u.

Entry 2:
This record from the Alexandria database describes an optimized crystal structure of ScTiZn2Rh. The functional is PBE-GGA.

abc: 4.8302 4.8302 4.4145
angles: 90.00 90.00 90.00
Space group P4/mmm (No. 123)
Asymmetric unit:
Sc (0.0000, 0.0000, 0.0000)
Ti (0.5000, 0.5000, 0.5000)
Zn (0.0000, 0.5000, 0.5000)
Rh (0.5000, 0.5000, 0.0000)

Calculated values
formation energy: 347 meV per atom
DFT total energy: -4.48 eV/atom
N(E_F): 4.9 states/eV/f.u.

Entry 3:
This record from the Alexandria database describes an optimized crystal structure of Na2PaInS4. The functional is PBE-GGA.

abc: 6.8610 4.1013 7.5840
angles: 90.00 110.52 90.00
Space group P2/m (No. 10)
Asymmetric unit:
Na (0.0000, 0.0000, 0.0000)
Na (0.0000, 0.5000, 0.5000)
Pa (0.5000, 0.0000, 0.5000)
In (0.5000, 0.5000, 0.0000)
S (0.2733, 0.5000, 0.2812)
S (0.2768, 0.0000, 0.7088)

Calculated values
DFT total energy: -5.13 eV/atom
N(E_F): 0.1 states/eV/f.u.
uncorrected formation energy: -1.206 eV per atom

Entry 4:
This record from the Alexandria database describes an optimized crystal structure of NaLiZnS2. The functional is PBE-GGA.

abc: 12.8067 3.9299 8.1734
angles: 90.00 99.03 90.00
Space group C2/m (No. 12)
Asymmetric unit:
Na (0.1643, 0.0000, 0.1641)
Li (0.1832, 0.0000, 0.5608)
Zn (0.0571, 0.5000, 0.6908)
S (0.1244, 0.5000, 0.4099)
S (0.1266, 0.0000, 0.8242)

Calculated values
DFT total energy: -3.59 eV/atom
N(E_F): 0.0 states/eV/f.u.
uncorrected formation energy: -1.033 eV per atom
polymorph energy (0 for the lowest one): 0.037 eV/atom

Entry 5:
This record from the Alexandria database describes an optimized crystal structure of CeReSi2W. The functional is PBE-GGA.

abc: 4.0391 4.0391 10.9242
angles: 90.00 90.00 90.00
Space group I-4m2 (No. 119)
Asymmetric unit:
Ce (0.0000, 0.0000, 0.0000)
Re (0.0000, 0.5000, 0.7500)
Si (0.0000, 0.0000, 0.3874)
W (0.0000, 0.5000, 0.2500)

Calculated values
DFT total energy: -8.83 eV/atom
N(E_F): 6.6 states/eV/f.u.
uncorrected formation energy: -0.395 eV per atom

Entry 6:
This record from the Alexandria database describes an optimized crystal structure of CsOsSe2N. The functional is PBE-GGA.

abc: 5.4486 5.4486 3.7659
angles: 90.00 90.00 90.00
Space group P4/mmm (No. 123)
Asymmetric unit:
Cs (0.0000, 0.0000, 0.0000)
Os (0.5000, 0.5000, 0.5000)
Se (0.0000, 0.5000, 0.5000)
N (0.5000, 0.5000, 0.0000)

Calculated values
DFT total energy: -5.32 eV/atom
N(E_F): 3.8 states/eV/f.u.
uncorrected formation energy: 0.159 eV per atom

Entry 7:
This record from the Alexandria database describes an optimized crystal structure of Mg4ScTc. The functional is PBE-GGA.

abc: 7.7954 7.7954 7.7954
angles: 90.00 90.00 90.00
Space group F-43m (No. 216)
Asymmetric unit:
Mg (0.1241, 0.1241, 0.3759)
Sc (0.0000, 0.0000, 0.0000)
Tc (0.2500, 0.2500, 0.7500)

Calculated values
formation energy: 310 meV per atom
DFT total energy: -3.54 eV/atom
N(E_F): 8.9 states/eV/f.u.

Entry 8:
This record from the Alexandria database describes an optimized crystal structure of DyBP. The functional is PBE-GGA.

abc: 3.5888 21.1570 3.1948
angles: 90.00 90.00 90.00
Space group Cmcm (No. 63)
Asymmetric unit:
Dy (0.0000, 0.0829, 0.2500)
B (0.0000, 0.3603, 0.2500)
P (0.0000, 0.3118, 0.7500)

Calculated values
formation energy: -63 meV per atom
DFT total energy: -5.63 eV/atom
N(E_F): 1.7 states/eV/f.u.

Entry 9:
This record from the Alexandria database describes an optimized crystal structure of LiCuPS2. The functional is PBE-GGA.

abc: 4.7603 4.7603 4.3058
angles: 90.00 90.00 90.00
Space group P4/mmm (No. 123)
Asymmetric unit:
Li (0.0000, 0.0000, 0.0000)
Cu (0.5000, 0.5000, 0.5000)
P (0.5000, 0.5000, 0.0000)
S (0.0000, 0.5000, 0.5000)

Calculated values
DFT total energy: -3.63 eV/atom
N(E_F): 2.4 states/eV/f.u.
uncorrected formation energy: 0.301 eV per atom
polymorph energy (0 for the lowest one): 0.000 eV/atom

Entry 10:
This record from the Alexandria database describes an optimized crystal structure of Y2Er2Th. The functional is PBE-GGA.

abc: 15.6835 6.2336 6.7493
angles: 90.00 103.89 90.00
Space group C2/c (No. 15)
Asymmetric unit:
Y (0.1976, 0.0764, 0.1387)
Er (0.0983, 0.4119, 0.4493)
Th (0.0000, 0.0793, 0.7500)

Calculated values
formation energy: 21 meV per atom
DFT total energy: -5.87 eV/atom
N(E_F): 8.2 states/eV/f.u.
polymorph energy (0 for the lowest one): 0.000 eV/atom